Density functional theory data (PBE) for a relaxed YAl2Os crystal.

abc: 3.0683 3.0683 27.5350
angles: 90.00 90.00 120.00
Last column: nearest neighbours and their distance in Å.
Space group R3m (No. 160, hexagonal axes)
Unique sites:
Y 0.0000 0.0000 0.0000  3 Os 2.93, 6 Y 3.07, 3 Al 3.23
Al 0.0000 0.0000 0.5138  3 Os 2.58, 3 Al 2.88
Al 0.0000 0.0000 0.7649  9 Al 2.87-3.07
Os 0.0000 0.0000 0.2486  3 Al 2.58

Its size of the total moment is 0.2 μB/f.u. The formation energy comes out at 14 kJ per mole of atoms.



Density functional theory data (PBE) for a relaxed TiGe3Se crystal.

abc: 4.9670 4.9670 4.9670
angles: 90.00 90.00 90.00
Last column: nearest neighbours and their distance in Å.
Space group Pm-3m (No. 221)
Unique sites:
Ti 0.0000 0.0000 0.0000  6 Ge 2.48
Ge 0.0000 0.0000 0.5000  2 Ti 2.48
Se 0.5000 0.5000 0.5000  12 Ge 3.51

Its size of the total moment is 0.0 μB/f.u. Its energy relative to the lowest polymorph listed for this composition is 0.0000 eV/atom. The calculation puts the uncorrected formation energy at 2.2 eV per formula unit.